Entry 1:
A plane-wave DFT calculation with PBE was carried out for an optimized crystal structure of TlCoBr2.

Cell lengths 7.1229, 7.1229, 7.1229 Å; angles 145.28, 145.28, 49.92 degrees
Closest atoms and distances in Å follow each position.
Element x y z (fractional)
Tl  0.0000  0.0000  0.0000  4 Br 3.01
Co  0.7500  0.2500  0.5000  4 Br 3.01
Br  0.2500  0.7500  0.5000  4 Co 3.01
Br  0.5000  0.5000  0.0000  4 Tl 3.01

Crystal system = tetragonal
Formation energy (no corrections) = 0.946 eV/f.u.
SG = No. 119
V = 117 Å³/cell
DOS(E_F) = 5.492 states/eV per cell
Distance to the lowest polymorph of the same formula = 0.4857 eV/atom

Entry 2:
A plane-wave DFT calculation with PBE was carried out for an optimized crystal structure of Ho7Zn2Cd2.

Cell lengths 6.6856, 6.6856, 7.5405 Å; angles 90.00, 90.00, 111.21 degrees
Closest atoms and distances in Å follow each position.
Element x y z (fractional)
Ho  0.0000  0.0000  0.0000  2 Zn 3.21
Ho  0.0000  0.5000  0.2775  2 Zn 2.85
Ho  0.0000  0.5000  0.7225  2 Zn 2.85
Ho  0.5000  0.0000  0.2775  2 Zn 2.85
Ho  0.5000  0.0000  0.7225  2 Zn 2.85
Ho  0.5000  0.5000  0.2423  2 Zn 2.94, 2 Cd 3.10
Ho  0.5000  0.5000  0.7577  2 Zn 2.94, 2 Cd 3.10
Zn  0.2911  0.7089  0.0000  6 Ho 2.85-2.94
Zn  0.7089  0.2911  0.0000  6 Ho 2.85-2.94
Cd  0.1799  0.1799  0.5000  1 Cd 2.72
Cd  0.8201  0.8201  0.5000  1 Cd 2.72

Crystal system = orthorhombic
SG = No. 65
V = 314 Å³/cell
E_form = 12 meV/atom
DOS(E_F) = 11.663 states/eV per cell

Entry 3:
A plane-wave DFT calculation with PBE was carried out for an optimized crystal structure of Ho6Cd2C.

Cell lengths 6.9349, 6.9271, 11.9295 Å; angles 90.00, 125.44, 90.00 degrees
Closest atoms and distances in Å follow each position.
Element x y z (fractional)
Ho  0.1880  0.9997  0.2556  1 C 2.42
Ho  0.1880  0.5003  0.7556  1 C 2.42
Ho  0.2904  0.2442  0.5348  1 C 2.42
Ho  0.2904  0.2558  0.0348  1 C 2.42
Ho  0.2920  0.7457  0.0347  1 C 2.42
Ho  0.2920  0.7543  0.5347  1 C 2.42
Ho  0.7080  0.2457  0.4653  1 C 2.42
Ho  0.7080  0.2543  0.9653  1 C 2.42
Ho  0.7096  0.7442  0.9652  1 C 2.42
Ho  0.7096  0.7558  0.4652  1 C 2.42
Ho  0.8120  0.0003  0.7444  1 C 2.42
Ho  0.8120  0.4997  0.2444  1 C 2.42
Cd  0.2555  0.5007  0.2514  5 Ho 3.03-3.22
Cd  0.2555  0.9993  0.7514  5 Ho 3.03-3.22
Cd  0.7445  0.0007  0.2486  5 Ho 3.03-3.22
Cd  0.7445  0.4993  0.7486  5 Ho 3.03-3.22
C  0.5000  0.0000  0.5000  6 Ho 2.42
C  0.5000  0.5000  0.0000  6 Ho 2.42

Crystal system = monoclinic
SG = No. 14
V = 467 Å³/cell
E_form = -272 meV/atom
DOS(E_F) = 7.405 states/eV per cell

Entry 4:
A plane-wave DFT calculation with PBE was carried out for an optimized crystal structure of RbLi3W.

Cell lengths 5.5242, 5.5242, 5.5242 Å; angles 90.00, 90.00, 90.00 degrees
Closest atoms and distances in Å follow each position.
Element x y z (fractional)
Rb  0.0000  0.0000  0.0000  12 Li 3.91
Li  0.0000  0.5000  0.5000  2 W 2.76
Li  0.5000  0.0000  0.5000  2 W 2.76
Li  0.5000  0.5000  0.0000  2 W 2.76
W  0.5000  0.5000  0.5000  6 Li 2.76

Crystal system = cubic
SG = No. 221
V = 169 Å³/cell
E_form = 1212 meV/atom
DOS(E_F) = 4.625 states/eV per cell
Distance to the lowest polymorph of the same formula = 0.0000 eV/atom

Entry 5:
A plane-wave DFT calculation with PBE was carried out for an optimized crystal structure of TeAuSe2.

Cell lengths 4.7007, 4.7007, 7.5683 Å; angles 90.00, 90.00, 131.32 degrees
Closest atoms and distances in Å follow each position.
Element x y z (fractional)
Te  0.0000  0.0000  0.0000  2 Au 2.74, 2 Se 2.78
Au  0.5000  0.5000  0.2557  2 Se 2.60, 2 Te 2.74
Se  0.0000  0.0000  0.4849  2 Au 2.60, 2 Se 2.71
Se  0.5000  0.5000  0.7357  2 Se 2.71, 2 Te 2.78

Crystal system = orthorhombic
Formation energy (no corrections) = 0.861 eV/f.u.
SG = No. 35
V = 126 Å³/cell
DOS(E_F) = 2.704 states/eV per cell
Distance to the lowest polymorph of the same formula = 0.1850 eV/atom

Entry 6:
A plane-wave DFT calculation with PBE was carried out for an optimized crystal structure of Zr3CdN.

Cell lengths 5.8707, 5.8707, 5.8707 Å; angles 90.33, 90.33, 90.33 degrees
Closest atoms and distances in Å follow each position.
Element x y z (fractional)
Zr  0.0044  0.2500  0.4956  1 N 2.04
Zr  0.2500  0.4956  0.0044  1 N 2.04
Zr  0.4956  0.0044  0.2500  1 N 2.04
Zr  0.5044  0.9956  0.7500  1 N 2.04
Zr  0.7500  0.5044  0.9956  1 N 2.04
Zr  0.9956  0.7500  0.5044  1 N 2.04
Cd  0.0000  0.0000  0.0000  2 N 2.53
Cd  0.5000  0.5000  0.5000  2 N 2.53
N  0.2500  0.2500  0.2500  3 Zr 2.04
N  0.7500  0.7500  0.7500  3 Zr 2.04

Crystal system = trigonal
Formation energy (no corrections) = -1.618 eV/f.u.
SG = No. 167
V = 202 Å³/cell
DOS(E_F) = 8.897 states/eV per cell

Entry 7:
A plane-wave DFT calculation with PBE was carried out for an optimized crystal structure of AsRh3W.

Cell lengths 4.7046, 4.7046, 4.7046 Å; angles 90.00, 90.00, 90.00 degrees
Closest atoms and distances in Å follow each position.
Element x y z (fractional)
As  0.0000  0.0000  0.0000  12 Rh 3.33
Rh  0.0000  0.5000  0.5000  2 W 2.35
Rh  0.5000  0.0000  0.5000  2 W 2.35
Rh  0.5000  0.5000  0.0000  2 W 2.35
W  0.5000  0.5000  0.5000  6 Rh 2.35

Crystal system = cubic
SG = No. 221
V = 104 Å³/cell
E_form = 1174 meV/atom
DOS(E_F) = 4.736 states/eV per cell
Distance to the lowest polymorph of the same formula = 0.1857 eV/atom

Entry 8:
A plane-wave DFT calculation with PBE was carried out for an optimized crystal structure of Ca2SiB2Ru5.

Cell lengths 9.5823, 9.5823, 2.9951 Å; angles 90.00, 90.00, 90.00 degrees
Closest atoms and distances in Å follow each position.
Element x y z (fractional)
Ca  0.1762  0.3238  0.0000  3 B 2.70-2.92, 10 Ru 2.82-2.96, 2 Ca 3.00
Ca  0.3238  0.8238  0.0000  3 B 2.70-2.92, 10 Ru 2.82-2.96, 2 Ca 3.00
Ca  0.6762  0.1762  0.0000  3 B 2.70-2.92, 10 Ru 2.82-2.96, 2 Ca 3.00
Ca  0.8238  0.6762  0.0000  3 B 2.70-2.92, 10 Ru 2.82-2.96, 2 Ca 3.00
Si  0.0000  0.0000  0.0000  8 Ru 2.59
Si  0.5000  0.5000  0.0000  8 Ru 2.59
B  0.1242  0.6242  0.0000  6 Ru 2.25
B  0.3758  0.1242  0.0000  6 Ru 2.25
B  0.6242  0.8758  0.0000  6 Ru 2.25
B  0.8758  0.3758  0.0000  6 Ru 2.25
Ru  0.0000  0.5000  0.5000  4 B 2.25
Ru  0.0656  0.7888  0.5000  2 B 2.25
Ru  0.2112  0.0656  0.5000  2 B 2.25
Ru  0.2888  0.5656  0.5000  2 B 2.25
Ru  0.4344  0.2888  0.5000  2 B 2.25
Ru  0.5000  0.0000  0.5000  4 B 2.25
Ru  0.5656  0.7112  0.5000  2 B 2.25
Ru  0.7112  0.4344  0.5000  2 B 2.25
Ru  0.7888  0.9344  0.5000  2 B 2.25
Ru  0.9344  0.2112  0.5000  2 B 2.25

Crystal system = tetragonal
Formation energy (no corrections) = -2.260 eV/f.u.
SG = No. 127
V = 275 Å³/cell
DOS(E_F) = 23.143 states/eV per cell